(1)
Entry from Alexandria via LeMat-Bulk: crystalline LaGa3Pd at its relaxed geometry (PBEsol).

Computed properties:
The value obtained for the density of states at the Fermi level is 0.41 states/eV per atom. The calculation puts the final energy at -5.005 eV per atom. The space group is I-4m2, No. 119. The value obtained for the density is 7.917 g/cm³. The calculation puts the magnetization at 0.0 μB per formula unit. The calculation puts the formation energy at -0.740 eV per atom.

a = 6.0982 Å, b = 6.0982 Å, c = 6.0982 Å
α = 139.35°, β = 139.35°, γ = 58.84°
Atoms (fractional coordinates):
La  0.0000  0.0000  0.0000
Ga  0.2500  0.7500  0.5000
Ga  0.3830  0.3830  0.0000
Ga  0.6170  0.6170  0.0000
Pd  0.7500  0.2500  0.5000

(2)
Entry from Alexandria via LeMat-Bulk: crystalline NiGe3Os at its relaxed geometry (PBEsol).

Computed properties:
The value obtained for the density of states at the Fermi level is 0.87 states/eV per atom. The calculation puts the final energy at -5.707 eV per atom. The space group is Pm-3m, No. 221. The value obtained for the density is 9.237 g/cm³. The calculation puts the magnetization at 0.0 μB per formula unit. The calculation puts the formation energy at 0.931 eV per atom.

a = 4.3782 Å, b = 4.3782 Å, c = 4.3782 Å
α = 90.00°, β = 90.00°, γ = 90.00°
Atoms (fractional coordinates):
Ni  0.0000  0.0000  0.0000
Ge  0.0000  0.0000  0.5000
Ge  0.0000  0.5000  0.0000
Ge  0.5000  0.0000  0.0000
Os  0.5000  0.5000  0.5000